No. 1
BaH2Pd | PBEsol | relaxed

Values from the calculation:
For the energy relative to the lowest polymorph listed for this composition, the calculation gives 0.0 meV per atom.

CIF file:
```
data_BaH2Pd
_space_group_name_H-M_alt 'I -4 2 d'
_space_group_IT_number 122
_space_group_name_Hall 'I -4 2bw'
_cell_length_a 5.6089
_cell_length_b 5.6089
_cell_length_c 7.3503
_cell_angle_alpha 90.00
_cell_angle_beta 90.00
_cell_angle_gamma 90.00
loop_
_atom_site_label
_atom_site_fract_x
_atom_site_fract_y
_atom_site_fract_z
Ba1 0.0000 0.0000 0.0000
H1 0.1068 0.2500 0.6250
Pd1 0.0000 0.0000 0.5000
```

***

No. 2
Ba2SiNiPt | PBEsol | relaxed

Values from the calculation:
For the density of states at the Fermi level, the calculation gives 6.0 states/eV per cell. The formation energy without anion corrections is 239 meV/atom.

CIF file:
```
data_Ba2SiNiPt
_space_group_name_H-M_alt 'P 4/m m m'
_space_group_IT_number 123
_space_group_name_Hall '-P 4 2'
_cell_length_a 5.7261
_cell_length_b 5.7261
_cell_length_c 4.5322
_cell_angle_alpha 90.00
_cell_angle_beta 90.00
_cell_angle_gamma 90.00
loop_
_atom_site_label
_atom_site_fract_x
_atom_site_fract_y
_atom_site_fract_z
Ba1 0.0000 0.5000 0.0000
Si1 0.0000 0.0000 0.5000
Ni1 0.5000 0.5000 0.0000
Pt1 0.5000 0.5000 0.5000
```

***

No. 3
RbPtOF2 | PBEsol | relaxed

Values from the calculation:
For the density of states at the Fermi level, the calculation gives 2.3 states/eV per cell. For the energy relative to the lowest polymorph listed for this composition, the calculation gives 0.0 meV per atom. The formation energy without anion corrections is -1359 meV/atom.

CIF file:
```
data_RbPtOF2
_space_group_name_H-M_alt 'P 4/m m m'
_space_group_IT_number 123
_space_group_name_Hall '-P 4 2'
_cell_length_a 4.5552
_cell_length_b 4.5552
_cell_length_c 3.7490
_cell_angle_alpha 90.00
_cell_angle_beta 90.00
_cell_angle_gamma 90.00
loop_
_atom_site_label
_atom_site_fract_x
_atom_site_fract_y
_atom_site_fract_z
Rb1 0.0000 0.0000 0.0000
Pt1 0.5000 0.5000 0.5000
O1 0.5000 0.5000 0.0000
F1 0.0000 0.5000 0.5000
```

***

No. 4
TiCdAu3 | PBEsol | relaxed

Values from the calculation:
For the density of states at the Fermi level, the calculation gives 2.8 states/eV per cell. As for the formation energy: 0.657 eV/atom.

CIF file:
```
data_TiCdAu3
_space_group_name_H-M_alt 'P m -3 m'
_space_group_IT_number 221
_space_group_name_Hall '-P 4 2 3'
_cell_length_a 4.9007
_cell_length_b 4.9007
_cell_length_c 4.9007
_cell_angle_alpha 90.00
_cell_angle_beta 90.00
_cell_angle_gamma 90.00
loop_
_atom_site_label
_atom_site_fract_x
_atom_site_fract_y
_atom_site_fract_z
Ti1 0.0000 0.0000 0.0000
Cd1 0.5000 0.5000 0.5000
Au1 0.0000 0.0000 0.5000
```